Computed, not measured: a relaxed MgCu2As crystal at the PBE level of DFT.

The structure in POSCAR format:
```
MgCu2As
1.0
4.447 -1.470 0.000
4.447 1.470 0.000
-0.738 0.000 4.647
Mg Cu As
1 2 1
Direct
0.000 0.000 0.000 Mg
0.250 0.250 0.758 Cu
0.750 0.750 0.242 Cu
0.500 0.500 0.500 As
```

Results
ΔE_f = -0.01 eV/atom
Symmetry = No. 12

Computed, not measured: a relaxed MgMnCuAs2 crystal at the PBE level of DFT.

The structure in POSCAR format:
```
MgMnCuAs2
1.0
4.466 0.000 0.000
0.000 4.466 0.000
0.000 0.000 4.914
Mg Mn Cu As
1 1 1 2
Direct
0.000 0.000 0.000 Mg
0.000 0.000 0.500 Mn
0.500 0.500 0.000 Cu
0.000 0.500 0.500 As
0.500 0.000 0.500 As
```

Results
ΔE_f = 0.38 eV/atom
Symmetry = No. 123

Computed, not measured: a relaxed Na2MgCu3As4 crystal at the PBE level of DFT.

The structure in POSCAR format:
```
Na2MgCu3As4
1.0
4.138 0.000 0.000
0.000 4.138 0.000
0.000 0.000 10.915
Na Mg Cu As
2 1 3 4
Direct
0.000 0.500 0.249 Na
0.500 0.000 0.751 Na
0.500 0.500 0.000 Mg
0.000 0.000 0.000 Cu
0.000 0.500 0.635 Cu
0.500 0.000 0.365 Cu
0.000 0.000 0.500 As
0.000 0.500 0.855 As
0.500 0.000 0.145 As
0.500 0.500 0.500 As
```

Results
ΔE_f = -0.27 eV/atom
Symmetry = No. 115

Computed, not measured: a relaxed NaMg2Cu2As2 crystal at the PBE level of DFT.

The structure in POSCAR format:
```
NaMg2Cu2As2
1.0
2.159 1.247 8.233
-2.159 1.247 8.233
0.000 -2.493 8.233
Na Mg Cu As
1 2 2 2
Direct
0.000 0.000 0.000 Na
0.137 0.137 0.137 Mg
0.863 0.863 0.863 Mg
0.445 0.445 0.445 Cu
0.555 0.555 0.555 Cu
0.252 0.252 0.252 As
0.748 0.748 0.748 As
```

Results
ΔE_f = -0.29 eV/atom
Symmetry = No. 166

Computed, not measured: a relaxed MgCuAs2O7 crystal at the PBE level of DFT.

The structure in POSCAR format:
```
MgCuAs2O7
1.0
7.213 0.000 0.000
0.000 8.530 0.000
-3.725 0.000 8.992
Mg Cu As O
4 4 8 28
Direct
0.234 0.069 0.107 Mg
0.234 0.431 0.607 Mg
0.766 0.569 0.393 Mg
0.766 0.931 0.893 Mg
0.292 0.062 0.661 Cu
0.292 0.438 0.161 Cu
0.708 0.562 0.839 Cu
0.708 0.938 0.339 Cu
0.047 0.734 0.733 As
0.047 0.766 0.233 As
0.460 0.725 0.031 As
0.460 0.775 0.531 As
0.540 0.225 0.469 As
0.540 0.275 0.969 As
0.953 0.234 0.767 As
0.953 0.266 0.267 As
0.015 0.594 0.602 O
0.015 0.906 0.102 O
0.103 0.586 0.188 O
0.103 0.914 0.688 O
0.154 0.245 0.712 O
0.154 0.255 0.212 O
0.236 0.650 0.894 O
0.236 0.850 0.394 O
0.365 0.234 0.550 O
0.365 0.266 0.050 O
0.429 0.599 0.596 O
0.429 0.901 0.096 O
0.495 0.078 0.339 O
0.495 0.422 0.839 O
0.505 0.578 0.161 O
0.505 0.922 0.661 O
0.571 0.099 0.904 O
0.571 0.401 0.404 O
0.635 0.734 0.950 O
0.635 0.766 0.450 O
0.764 0.150 0.606 O
0.764 0.350 0.106 O
0.846 0.745 0.788 O
0.846 0.755 0.288 O
0.897 0.086 0.312 O
0.897 0.414 0.812 O
0.985 0.094 0.898 O
0.985 0.406 0.398 O
```

Results
Uncorrected formation energy = -1379 meV per atom
Symmetry = No. 14

Computed, not measured: a relaxed Mg2CuAsO6 crystal at the PBE level of DFT.

The structure in POSCAR format:
```
Mg2CuAsO6
1.0
5.095 0.000 0.000
0.000 5.095 0.000
0.000 0.000 4.657
Mg Cu As O
2 1 1 6
Direct
0.000 0.500 0.000 Mg
0.500 0.000 0.000 Mg
0.000 0.000 0.630 Cu
0.500 0.500 0.643 As
0.000 0.000 0.229 O
0.260 0.260 0.776 O
0.260 0.740 0.776 O
0.500 0.500 0.276 O
0.740 0.260 0.776 O
0.740 0.740 0.776 O
```

Results
Uncorrected formation energy = -1327 meV per atom
Symmetry = No. 99

Computed, not measured: a relaxed MgCu2AsO7 crystal at the PBE level of DFT.

The structure in POSCAR format:
```
MgCu2AsO7
1.0
5.132 0.000 0.000
0.681 5.286 0.000
2.562 -0.053 5.405
Mg Cu As O
1 2 1 7
Direct
0.000 0.000 0.000 Mg
0.510 0.009 0.500 Cu
0.728 0.495 0.285 Cu
0.506 0.458 0.853 As
0.183 0.856 0.645 O
0.217 0.657 0.039 O
0.374 0.191 0.803 O
0.632 0.823 0.214 O
0.728 0.597 0.579 O
0.730 0.350 0.998 O
0.839 0.167 0.345 O
```

Results
Uncorrected formation energy = -956 meV per atom
Symmetry = No. 1

Computed, not measured: a relaxed RbMgCuAs2 crystal at the PBE level of DFT.

The structure in POSCAR format:
```
RbMgCuAs2
1.0
4.978 0.000 0.000
0.000 4.978 0.000
0.000 0.000 4.971
Rb Mg Cu As
1 1 1 2
Direct
0.000 0.000 0.000 Rb
0.500 0.500 0.000 Mg
0.500 0.500 0.500 Cu
0.000 0.500 0.500 As
0.500 0.000 0.500 As
```

Results
ΔE_f = 0.10 eV/atom
Symmetry = No. 123

Computed, not measured: a relaxed RbMg2Cu2As2 crystal at the PBE level of DFT.

The structure in POSCAR format:
```
RbMg2Cu2As2
1.0
2.183 1.260 9.232
-2.183 1.260 9.232
0.000 -2.520 9.232
Rb Mg Cu As
1 2 2 2
Direct
0.000 0.000 0.000 Rb
0.139 0.139 0.139 Mg
0.861 0.861 0.861 Mg
0.452 0.452 0.452 Cu
0.548 0.548 0.548 Cu
0.241 0.241 0.241 As
0.759 0.759 0.759 As
```

Results
ΔE_f = -0.32 eV/atom
Symmetry = No. 166

Computed, not measured: a relaxed Mg2CuReAs crystal at the PBE level of DFT.

The structure in POSCAR format:
```
Mg2CuReAs
1.0
4.875 0.000 0.000
0.000 4.875 0.000
0.000 0.000 4.589
Mg Cu Re As
2 1 1 1
Direct
0.000 0.500 0.000 Mg
0.500 0.000 0.000 Mg
0.000 0.000 0.500 Cu
0.500 0.500 0.500 Re
0.500 0.500 0.000 As
```

Results
ΔE_f = 0.86 eV/atom
Symmetry = No. 123

Computed, not measured: a relaxed Mg2CuAsRh crystal at the PBE level of DFT.

The structure in POSCAR format:
```
Mg2CuAsRh
1.0
4.920 0.000 0.000
0.000 4.920 0.000
0.000 0.000 4.391
Mg Cu As Rh
2 1 1 1
Direct
0.000 0.500 0.000 Mg
0.500 0.000 0.000 Mg
0.000 0.000 0.500 Cu
0.000 0.000 0.000 As
0.500 0.500 0.500 Rh
```

Results
ΔE_f = 0.44 eV/atom
Symmetry = No. 123

Computed, not measured: a relaxed MgCuAs2S4 crystal at the PBE level of DFT.

The structure in POSCAR format:
```
MgCuAs2S4
1.0
4.198 -4.236 0.000
4.198 4.236 0.000
-2.814 0.000 5.116
Mg Cu As S
1 1 2 4
Direct
0.000 0.000 0.000 Mg
0.515 0.515 0.015 Cu
0.238 0.728 0.466 As
0.728 0.238 0.466 As
0.177 0.649 0.790 S
0.344 0.344 0.248 S
0.649 0.177 0.790 S
0.834 0.834 0.264 S
```

Results
Uncorrected formation energy = -308 meV per atom
Symmetry = No. 8

Computed, not measured: a relaxed MgCuAsSe2 crystal at the PBE level of DFT.

The structure in POSCAR format:
```
MgCuAsSe2
1.0
5.025 0.000 0.000
0.000 5.025 0.000
0.000 0.000 4.454
Mg Cu As Se
1 1 1 2
Direct
0.000 0.000 0.000 Mg
0.500 0.500 0.500 Cu
0.500 0.500 0.000 As
0.000 0.500 0.500 Se
0.500 0.000 0.500 Se
```

Results
Excess energy over the best structure of this formula in the dataset = 0.000 eV/atom
Uncorrected formation energy = 217 meV per atom
Symmetry = No. 123

Computed, not measured: a relaxed MgCuAsSe2 crystal at the PBE level of DFT.

The structure in POSCAR format:
```
MgCuAsSe2
1.0
5.024 0.000 0.000
0.000 5.024 0.000
0.000 0.000 4.928
Mg Cu As Se
1 1 1 2
Direct
0.000 0.000 0.000 Mg
0.500 0.500 0.500 Cu
0.000 0.000 0.500 As
0.000 0.500 0.000 Se
0.500 0.000 0.000 Se
```

Results
Excess energy over the best structure of this formula in the dataset = 0.414 eV/atom
Uncorrected formation energy = 631 meV per atom
Symmetry = No. 123

Computed, not measured: a relaxed MgCuAsSe2 crystal at the PBE level of DFT.

The structure in POSCAR format:
```
MgCuAsSe2
1.0
4.960 0.000 0.000
0.000 4.960 0.000
0.000 0.000 4.724
Mg Cu As Se
1 1 1 2
Direct
0.000 0.000 0.000 Mg
0.000 0.000 0.500 Cu
0.500 0.500 0.500 As
0.000 0.500 0.000 Se
0.500 0.000 0.000 Se
```

Results
Excess energy over the best structure of this formula in the dataset = 0.376 eV/atom
Uncorrected formation energy = 593 meV per atom
Symmetry = No. 123

Computed, not measured: a relaxed Sr2MgCu3As4 crystal at the PBE level of DFT.

The structure in POSCAR format:
```
Sr2MgCu3As4
1.0
4.371 0.000 0.000
0.000 4.371 0.000
0.000 0.000 10.540
Sr Mg Cu As
2 1 3 4
Direct
0.000 0.500 0.237 Sr
0.500 0.000 0.763 Sr
0.000 0.000 0.500 Mg
0.000 0.500 0.879 Cu
0.500 0.000 0.121 Cu
0.500 0.500 0.500 Cu
0.000 0.000 0.000 As
0.000 0.500 0.644 As
0.500 0.000 0.356 As
0.500 0.500 0.000 As
```

Results
ΔE_f = -0.62 eV/atom
Symmetry = No. 115

Computed, not measured: a relaxed Mg2CuTeAs crystal at the PBE level of DFT.

The structure in POSCAR format:
```
Mg2CuTeAs
1.0
5.142 0.000 0.000
0.000 5.142 0.000
0.000 0.000 4.504
Mg Cu Te As
2 1 1 1
Direct
0.000 0.500 0.000 Mg
0.500 0.000 0.000 Mg
0.000 0.000 0.500 Cu
0.500 0.500 0.500 Te
0.000 0.000 0.000 As
```

Results
Uncorrected formation energy = -280 meV per atom
Symmetry = No. 123

Computed, not measured: a relaxed Y2MgCuAs crystal at the PBE level of DFT.

The structure in POSCAR format:
```
Y2MgCuAs
1.0
5.540 0.000 0.000
0.000 5.540 0.000
0.000 0.000 4.667
Y Mg Cu As
2 1 1 1
Direct
0.000 0.500 0.000 Y
0.500 0.000 0.000 Y
0.000 0.000 0.000 Mg
0.500 0.500 0.500 Cu
0.000 0.000 0.500 As
```

Results
ΔE_f = 0.60 eV/atom
Symmetry = No. 123

Computed, not measured: a relaxed MnCuAs crystal at the PBE level of DFT.

The structure in POSCAR format:
```
MnCuAs
1.0
6.297 0.000 0.000
0.000 3.649 0.000
0.000 0.000 7.650
Mn Cu As
4 4 4
Direct
0.042 0.250 0.153 Mn
0.458 0.750 0.653 Mn
0.542 0.250 0.347 Mn
0.958 0.750 0.847 Mn
0.137 0.250 0.554 Cu
0.363 0.750 0.054 Cu
0.637 0.250 0.946 Cu
0.863 0.750 0.446 Cu
0.247 0.750 0.355 As
0.253 0.250 0.855 As
0.747 0.750 0.145 As
0.753 0.250 0.645 As
```

Results
ΔE_f = 0.01 eV/atom
Symmetry = No. 62

Computed, not measured: a relaxed MnCuAs crystal at the PBE level of DFT.

The structure in POSCAR format:
```
MnCuAs
1.0
3.679 0.000 0.000
0.000 3.679 0.000
0.000 0.000 6.453
Mn Cu As
2 2 2
Direct
0.250 0.250 0.158 Mn
0.750 0.750 0.842 Mn
0.250 0.750 0.500 Cu
0.750 0.250 0.500 Cu
0.250 0.250 0.775 As
0.750 0.750 0.225 As
```

Results
ΔE_f = -0.02 eV/atom
Symmetry = No. 129